# HfCoIrO6

A geometry-optimized HfCoIrO6 structure (GGA+U, Alexandria via LeMat-Bulk).

Total magnetization in Bohr magnetons per cell: 1.55
Energy in eV/cell: -135.53

a = 5.2016 Å, b = 5.2016 Å, c = 8.8584 Å
α = 90.00°, β = 90.00°, γ = 120.00°
Last column: nearest neighbours and their distance in Å.
Space group P-31c (No. 163)
Unique sites:
Hf  0.3333  0.6667  0.2500 [2 per cell]  6 O 2.08
Co  0.0000  0.0000  0.0000 [2 per cell]  6 O 2.11
Ir  0.3333  0.6667  0.7500 [2 per cell]  6 O 1.97
O  0.0162  0.3511  0.6276 [12 per cell]  1 Ir 1.97, 1 Hf 2.08, 1 Co 2.11